The following is a PBE-GGA calculation of a geometry-optimized La8Ge5Pd structure, from the Alexandria database.

Calculated values
total moment: 0.00 μB per formula unit
DFT formation energy: -787 meV/atom
electronic total energy: -5.623 eV/atom
DOS(E_F): 8.8 states/eV/f.u.
symmetry: I-4 (82)

The structure in POSCAR format:
```
La8Ge5Pd
1.0
-4.6436 4.6436 4.7211
4.6436 -4.6436 4.7211
4.6436 4.6436 -4.7211
La Ge Pd
8 5 1
Direct
0.0104 0.6308 0.7530
0.2423 0.4972 0.1124
0.3692 0.1222 0.3796
0.3848 0.1299 0.8876
0.5028 0.6152 0.7451
0.7426 0.9896 0.6204
0.8701 0.7577 0.2549
0.8778 0.2574 0.2470
0.1229 0.2512 0.6274
0.2500 0.7500 0.5000
0.5045 0.8771 0.1284
0.6238 0.4955 0.3726
0.7488 0.3762 0.8716
0.0000 0.0000 0.0000
```